(1)
{"formula": "GaTeAuO6", "functional": "GGA-PBE", "state": "relaxed", "lattice_angstrom": [[5.2149, 0.0000, 0.0000], [-2.6075, 4.5162, 0.0000], [0.0000, 0.0000, 9.2015]], "species": ["O", "O", "O", "O", "O", "O", "O", "O", "O", "O", "O", "O", "Au", "Au", "Te", "Te", "Ga", "Ga"], "fractional_positions": [[0.0049, 0.3618, 0.1354], [0.3618, 0.0049, 0.6354], [0.3618, 0.3569, 0.8646], [0.6382, 0.9951, 0.3646], [0.9951, 0.3569, 0.6354], [0.6431, 0.6382, 0.6354], [0.0049, 0.6431, 0.3646], [0.3569, 0.3618, 0.3646], [0.6431, 0.0049, 0.8646], [0.6382, 0.6431, 0.1354], [0.9951, 0.6382, 0.8646], [0.3569, 0.9951, 0.1354], [0.0000, 0.0000, 0.0000], [0.0000, 0.0000, 0.5000], [0.3333, 0.6667, 0.2500], [0.6667, 0.3333, 0.7500], [0.6667, 0.3333, 0.2500], [0.3333, 0.6667, 0.7500]], "space_group": "P-31c (163)", "magnetic_moment_mub_per_atom": 0.00, "raw_formation_energy_ev_per_atom": -0.79}


(2)
{"formula": "K2NF6", "functional": "GGA-PBE", "state": "relaxed", "lattice_angstrom": [[-0.2306, -2.7594, -3.9720], [2.6001, -4.0738, 2.6678], [-2.9128, -3.7758, 2.7807]], "species": ["F", "F", "F", "F", "F", "F", "K", "K", "N"], "fractional_positions": [[0.7973, 0.1484, 0.1484], [0.2024, 0.2961, 0.8518], [0.7976, 0.7039, 0.1482], [0.2027, 0.8516, 0.8516], [0.2024, 0.8518, 0.2961], [0.7976, 0.1482, 0.7039], [0.7352, 0.6668, 0.6668], [0.2648, 0.3332, 0.3332], [0.0000, 0.0000, 0.0000]], "space_group": "C2/m (12)", "magnetic_moment_mub_per_atom": 0.10, "raw_formation_energy_ev_per_atom": -1.21}


(3)
{"formula": "MgScNb2Fe", "functional": "GGA-PBE", "state": "relaxed", "lattice_angstrom": [[-1.3169, 2.2164, -3.8895], [-4.5328, 0.7075, 1.9378], [1.4150, 4.0525, 1.8302]], "species": ["Nb", "Nb", "Mg", "Sc", "Fe"], "fractional_positions": [[0.0000, 0.0000, 0.5000], [0.5000, 0.0000, 0.0000], [0.0000, 0.5000, 0.0000], [0.0000, 0.0000, 0.0000], [0.5000, 0.5000, 0.5000]], "space_group": "P4/mmm (123)", "magnetic_moment_mub_per_atom": 0.00, "formation_energy_kcal_per_mol_atoms": 44.1}


(4)
{"formula": "TaNb6W2", "functional": "GGA-PBE", "state": "relaxed", "lattice_angstrom": [[4.5740, 0.0000, 0.0000], [2.2870, 3.9612, 0.0000], [2.2870, 1.3204, 9.3559]], "species": ["Nb", "Nb", "Nb", "Nb", "Nb", "Nb", "W", "W", "Ta"], "fractional_positions": [[0.5929, 0.5929, 0.2214], [0.8042, 0.8042, 0.5875], [0.1958, 0.1958, 0.4125], [0.4071, 0.4071, 0.7786], [0.2993, 0.2993, 0.1022], [0.7007, 0.7007, 0.8978], [0.8994, 0.8994, 0.3017], [0.1006, 0.1006, 0.6983], [0.0000, 0.0000, 0.0000]], "space_group": "R-3m (166)", "magnetic_moment_mub_per_atom": 0.00, "formation_energy_kcal_per_mol_atoms": 5.4}


(5)
{"formula": "Na2In2TeO6", "functional": "GGA-PBE", "state": "relaxed", "lattice_angstrom": [[5.7438, -0.0035, 0.0599], [-2.8420, 4.9914, 0.0599], [-1.0350, -1.7790, 5.6054]], "species": ["O", "O", "O", "O", "O", "O", "Na", "Na", "Te", "In", "In"], "fractional_positions": [[0.3978, 0.0570, 0.7022], [0.0570, 0.3978, 0.7022], [0.2586, 0.2586, 0.2997], [0.7414, 0.7414, 0.7003], [0.9430, 0.6022, 0.2978], [0.6022, 0.9430, 0.2978], [0.1714, 0.8286, 0.0000], [0.8286, 0.1714, 0.0000], [0.0000, 0.0000, 0.5000], [0.6642, 0.3358, 0.5000], [0.3358, 0.6642, 0.5000]], "space_group": "C2/m (12)", "magnetic_moment_mub_per_atom": 0.00, "raw_formation_energy_ev_per_atom": -1.40}


(6)
{"formula": "SnHg2Cl", "functional": "GGA-PBE", "state": "relaxed", "lattice_angstrom": [[2.8123, -3.2128, -3.1556], [-1.7641, -4.8955, -1.0545], [-1.7922, -1.1876, -4.8546]], "species": ["Sn", "Cl", "Hg", "Hg"], "fractional_positions": [[0.5000, 0.5000, 0.5000], [0.0000, 0.0000, 0.0000], [0.2500, 0.2500, 0.2500], [0.7500, 0.7500, 0.7500]], "space_group": "Fm-3m (225)", "magnetic_moment_mub_per_atom": 0.00, "raw_formation_energy_ev_per_atom": -0.04, "e_above_lowest_polymorph_mev_per_atom": 105.5}